No. 1
First-principles (PBE-GGA) data for a relaxed PrNd2Sm6Er crystal, as listed in the Alexandria database.

## Properties
For the density of states at the Fermi level, the calculation gives 28.8 states/eV per cell. For the raw total energy, the calculation gives -4.605 eV per atom. As for the formation energy from the elements: 114 meV per atom.

Cell: 8.9330 8.9330 9.8329 Å, 94.22 94.22 117.89°
Closest atoms and distances in Å follow each position.
Fractional coordinates of all 20 atoms:
Pr: 0.0193 0.9807 0.7500  4 Nd 3.44-3.45, 4 Sm 3.66-3.71
Pr: 0.9807 0.0193 0.2500  4 Nd 3.44-3.45, 4 Sm 3.66-3.71
Nd: 0.1979 0.2991 0.5434  5 Sm 3.30-3.60, 2 Pr 3.44-3.45, 1 Er 3.59
Nd: 0.2991 0.1979 0.0434  5 Sm 3.30-3.60, 2 Pr 3.44-3.45, 1 Er 3.59
Nd: 0.7009 0.8021 0.9566  5 Sm 3.30-3.60, 2 Pr 3.44-3.45, 1 Er 3.59
Nd: 0.8021 0.7009 0.4566  5 Sm 3.30-3.60, 2 Pr 3.44-3.45, 1 Er 3.59
Sm: 0.0158 0.5705 0.6875  2 Sm 3.30-3.64, 1 Nd 3.46, 1 Er 3.49, 1 Pr 3.66
Sm: 0.1219 0.7462 0.0558  7 Sm 3.46-3.84, 1 Nd 3.60, 1 Pr 3.71
Sm: 0.2538 0.8781 0.4442  7 Sm 3.46-3.84, 1 Nd 3.60, 1 Pr 3.71
Sm: 0.2943 0.5066 0.8807  3 Nd 3.30-3.52, 4 Sm 3.30-3.58, 2 Er 3.46-3.62
Sm: 0.4295 0.9842 0.8125  2 Sm 3.30-3.64, 1 Nd 3.46, 1 Er 3.49, 1 Pr 3.66
Sm: 0.4934 0.7057 0.6193  3 Nd 3.30-3.52, 4 Sm 3.30-3.58, 2 Er 3.46-3.62
Sm: 0.5066 0.2943 0.3807  3 Nd 3.30-3.52, 4 Sm 3.30-3.58, 2 Er 3.46-3.62
Sm: 0.5705 0.0158 0.1875  2 Sm 3.30-3.64, 1 Nd 3.46, 1 Er 3.49, 1 Pr 3.66
Sm: 0.7057 0.4934 0.1193  3 Nd 3.30-3.52, 4 Sm 3.30-3.58, 2 Er 3.46-3.62
Sm: 0.7462 0.1219 0.5558  7 Sm 3.46-3.84, 1 Nd 3.60, 1 Pr 3.71
Sm: 0.8781 0.2538 0.9442  7 Sm 3.46-3.84, 1 Nd 3.60, 1 Pr 3.71
Sm: 0.9842 0.4295 0.3125  2 Sm 3.30-3.64, 1 Nd 3.46, 1 Er 3.49, 1 Pr 3.66
Er: 0.4084 0.5916 0.2500  6 Sm 3.46-3.62, 2 Nd 3.59
Er: 0.5916 0.4084 0.7500  6 Sm 3.46-3.62, 2 Nd 3.59

No. 2
First-principles (PBE-GGA) data for a relaxed Mg2MnOs crystal, as listed in the Alexandria database.

## Properties
For the density of states at the Fermi level, the calculation gives 2.0 states/eV per cell. For the raw total energy, the calculation gives -5.646 eV per atom. As for the formation energy from the elements: 251 meV per atom.

Cell: 2.6971 4.2606 5.5341 Å, 90.00 90.00 90.00°
Closest atoms and distances in Å follow each position.
Fractional coordinates of all 4 atoms:
Mg: 0.0000 0.0000 0.2434  4 Mg 2.69-2.84, 4 Os 2.86, 4 Mn 2.89
Mg: 0.0000 0.0000 0.7566  4 Mg 2.69-2.84, 4 Os 2.86, 4 Mn 2.89
Mn: 0.5000 0.5000 0.5000  2 Mn 2.70, 2 Os 2.77, 8 Mg 2.89
Os: 0.5000 0.5000 0.0000  2 Os 2.70, 2 Mn 2.77, 8 Mg 2.86

No. 3
First-principles (PBE-GGA) data for a relaxed ScAl2Cl crystal, as listed in the Alexandria database.

## Properties
For the density of states at the Fermi level, the calculation gives 3.1 states/eV per cell. For the raw total energy, the calculation gives -3.947 eV per atom. For the energy relative to the elements, uncorrected, the calculation gives -0.031 eV/atom.

Cell: 6.8877 6.8877 6.8877 Å, 97.38 97.38 138.00°
Closest atoms and distances in Å follow each position.
Fractional coordinates of all 8 atoms:
Sc: 0.0000 0.0000 0.0000  2 Cl 2.47
Sc: 0.7500 0.2500 0.5000  2 Cl 2.47
Al: 0.0815 0.6250 0.9565  2 Al 2.59
Al: 0.3750 0.3315 0.4565  2 Al 2.59
Al: 0.6685 0.1250 0.0435  2 Al 2.59
Al: 0.8750 0.9185 0.5435  2 Al 2.59
Cl: 0.2500 0.7500 0.5000  2 Sc 2.47
Cl: 0.5000 0.5000 0.0000  2 Sc 2.47

No. 4
First-principles (PBE-GGA) data for a relaxed RbCe2TlI8 crystal, as listed in the Alexandria database.

## Properties
For the density of states at the Fermi level, the calculation gives 15.9 states/eV per cell. For the raw total energy, the calculation gives -3.494 eV per atom. For the energy relative to the elements, uncorrected, the calculation gives -1.194 eV/atom.

Cell: 8.5501 8.5501 9.2479 Å, 90.00 90.00 120.00°
Closest atoms and distances in Å follow each position.
Fractional coordinates of all 12 atoms:
Rb: 0.0000 0.0000 0.0000  6 I 4.37, 2 Tl 4.62
Ce: 0.3333 0.6667 0.4121  7 I 3.05-3.32
Ce: 0.6667 0.3333 0.5879  7 I 3.05-3.32
Tl: 0.0000 0.0000 0.5000  6 I 3.41
I: 0.0610 0.3845 0.6631  2 Ce 3.25-3.32, 1 Tl 3.41
I: 0.3235 0.9390 0.6631  2 Ce 3.25-3.32, 1 Tl 3.41
I: 0.3333 0.6667 0.0825  1 Ce 3.05
I: 0.3845 0.3235 0.3369  2 Ce 3.25-3.32, 1 Tl 3.41
I: 0.6155 0.6765 0.6631  2 Ce 3.25-3.32, 1 Tl 3.41
I: 0.6667 0.3333 0.9175  1 Ce 3.05
I: 0.6765 0.0610 0.3369  2 Ce 3.25-3.32, 1 Tl 3.41
I: 0.9390 0.6155 0.3369  2 Ce 3.25-3.32, 1 Tl 3.41